(1)
First-principles (SCAN) data for a crystal of TcAgIr relaxed with PBEsol, as listed in the Alexandria database.

Computed properties:
Formation energy from the elements = 250 meV/atom
M_tot = 0.0 μB/cell
Electronic total energy = -45.592 eV/atom
SG = Imm2 (44)

Cell and atoms, written as extended XYZ:
```
3
Lattice="-2.5198 -1.0896 0.1013 1.0326 -2.6250 -2.5505 1.9773 -0.7043 4.3606" Properties=species:S:1:pos:R:3 pbc="T T T"
Tc 0.7877 -1.6355 2.0022
Ag 0.0003 -0.0005 0.0006
Ir -0.2979 -2.7829 -0.0915
```

(2)
First-principles (SCAN) data for a crystal of TcAgIr2 relaxed with PBEsol, as listed in the Alexandria database.

Computed properties:
Formation energy from the elements = 440 meV/atom
M_tot = 2.6 μB/cell
Electronic total energy = -51.717 eV/atom
SG = P4/mmm (123)
ΔE to the lowest computed polymorph = 183 meV/atom

Cell and atoms, written as extended XYZ:
```
4
Lattice="-0.9930 -1.6937 3.2731 -2.7440 -2.0322 -1.8841 2.5787 -2.8434 -0.6889" Properties=species:S:1:pos:R:3 pbc="T T T"
Ir 1.2894 -1.4217 -0.3445
Ir -1.3720 -1.0161 -0.9420
Ag -0.4965 -0.8468 1.6365
Tc -0.5792 -3.2846 0.3500
```

(3)
First-principles (SCAN) data for a crystal of Tc3AgIr relaxed with PBEsol, as listed in the Alexandria database.

Computed properties:
Formation energy from the elements = 1725 meV/atom
M_tot = 3.3 μB/cell
Electronic total energy = -39.804 eV/atom
SG = Pm-3m (221)

Cell and atoms, written as extended XYZ:
```
5
Lattice="-4.3672 1.0781 1.1283 -1.5097 -2.0703 -3.8655 -0.3949 -4.0074 2.3005" Properties=species:S:1:pos:R:3 pbc="T T T"
Ag -3.1359 -2.4998 -0.2184
Tc -0.7549 -1.0352 -1.9328
Tc -0.1975 -2.0037 1.1503
Tc -2.1836 0.5390 0.5641
Ir 0.0000 0.0000 0.0000
```

(4)
First-principles (SCAN) data for a crystal of AgTe2Ir relaxed with PBEsol, as listed in the Alexandria database.

Computed properties:
M_tot = 0.0 μB/cell
Energy relative to the elements, uncorrected = 0.48 eV/atom
Electronic total energy = -43.761 eV/atom
SG = R-3m (166)
ΔE to the lowest computed polymorph = 663 meV/atom

Cell and atoms, written as extended XYZ:
```
4
Lattice="-2.9310 -0.7041 -0.1239 -0.8477 -2.8161 -0.6728 -1.0879 -3.7411 10.2661" Properties=species:S:1:pos:R:3 pbc="T T T"
Te -3.7382 -4.1255 1.6863
Te -1.1284 -3.1357 7.7832
Ag -2.4333 -3.6306 4.7347
Ir 0.0000 0.0000 0.0000
```

(5)
First-principles (SCAN) data for a crystal of AgTe4Ir relaxed with PBEsol, as listed in the Alexandria database.

Computed properties:
M_tot = 1.7 μB/cell
Energy relative to the elements, uncorrected = 1.24 eV/atom
Electronic total energy = -40.667 eV/atom
SG = F-43m (216)

Cell and atoms, written as extended XYZ:
```
6
Lattice="-4.3958 -3.9088 1.1547 -1.5267 -4.0926 -4.1055 1.2929 -5.7828 0.9073" Properties=species:S:1:pos:R:3 pbc="T T T"
Te -3.9406 -7.1244 -0.1855
Te -2.5002 -7.2167 -2.8264
Te -1.7338 -5.1620 -0.7653
Te -1.0847 -8.0652 -0.3098
Ir 0.0000 0.0000 0.0000
Ag -3.4722 -10.3381 -1.5326
```

(6)
First-principles (SCAN) data for a crystal of AgTeIr2 relaxed with PBEsol, as listed in the Alexandria database.

Computed properties:
M_tot = 0.0 μB/cell
Energy relative to the elements, uncorrected = 0.48 eV/atom
Electronic total energy = -52.225 eV/atom
SG = I4/mmm (139)

Cell and atoms, written as extended XYZ:
```
4
Lattice="4.2232 0.0000 0.0000 -2.1116 4.2232 0.0289 0.0000 2.0865 3.6718" Properties=species:S:1:pos:R:3 pbc="T T T"
Ag 0.0000 0.0000 0.0000
Te 2.1116 1.0432 1.8359
Ir 0.0000 2.6332 0.9324
Ir 2.1116 3.6765 2.7683
```

(7)
First-principles (SCAN) data for a crystal of AgTeIr2 relaxed with PBEsol, as listed in the Alexandria database.

Computed properties:
M_tot = 0.0 μB/cell
Energy relative to the elements, uncorrected = 0.63 eV/atom
Electronic total energy = -52.074 eV/atom
SG = Cmmm (65)

Cell and atoms, written as extended XYZ:
```
4
Lattice="3.0970 0.0000 0.0000 0.0000 4.6646 0.0217 0.0000 -0.9624 4.5643" Properties=species:S:1:pos:R:3 pbc="T T T"
Ir 0.0000 2.3323 0.0108
Ir 0.0000 -0.4812 2.2821
Ag 1.5485 1.8511 2.2930
Te 1.5485 0.0000 0.0000
```

(8)
First-principles (SCAN) data for a crystal of AgTe2Ir relaxed with PBEsol, as listed in the Alexandria database.

Computed properties:
M_tot = 0.0 μB/cell
Energy relative to the elements, uncorrected = -0.18 eV/atom
Electronic total energy = -44.424 eV/atom
SG = R-3m (166)
ΔE to the lowest computed polymorph = 0 meV/atom

Cell and atoms, written as extended XYZ:
```
4
Lattice="-3.9339 0.5289 0.3568 -2.3437 -0.2490 -3.2137 -3.0126 -7.6058 0.3153" Properties=species:S:1:pos:R:3 pbc="T T T"
Te -6.5855 -2.2969 -2.4326
Te -2.7047 -5.0290 -0.1090
Ir -4.6451 -3.6630 -1.2708
Ag 0.0000 0.0000 0.0000
```